{"formula": "AsPtAu2", "functional": "GGA-PBEsol", "state": "optimized geometry", "cell": [[10.105, 0.000, 0.000], [0.000, 3.264, 0.000], [-1.095, 0.000, 4.225]], "species": ["As", "As", "Pt", "Pt", "Au", "Au", "Au", "Au"], "fractional_positions": [[0.000, 0.000, 0.000], [0.500, 0.500, 0.000], [0.166, 0.500, 0.295], [0.666, 0.000, 0.295], [0.229, 0.000, 0.814], [0.410, 0.000, 0.438], [0.729, 0.500, 0.814], [0.910, 0.500, 0.438]], "dos_at_fermi_per_ev_atom": 0.41, "formation_enthalpy_0k_ev_per_atom": 0.043, "crystal_system": "monoclinic", "energy_ev_per_cell": -39.49}